Computed, not measured: a relaxed CaVSi3 crystal at the PBE-GGA level of DFT.

Properties
Space-group type: Pm-3m, No. 221
Calculated volume: 97.3 Å³/cell

Unit cell a=4.600 b=4.600 c=4.600 alpha=90.00 beta=90.00 gamma=90.00
Sites, in units of the cell vectors:
1 Ca 0.500 0.500 0.500
2 Si 0.500 0.000 0.000
3 Si 0.000 0.000 0.500
4 Si 0.000 0.500 0.000
5 V 0.000 0.000 0.000

Computed, not measured: a relaxed Ca3VSi crystal at the PBE-GGA level of DFT.

Properties
Space-group type: Pm-3m, No. 221
Calculated volume: 178.2 Å³/cell

Unit cell a=5.627 b=5.627 c=5.627 alpha=90.00 beta=90.00 gamma=90.00
Sites, in units of the cell vectors:
1 Si 0.000 0.000 0.000
2 Ca 0.000 0.500 0.000
3 Ca 0.500 0.000 0.000
4 Ca 0.000 0.000 0.500
5 V 0.500 0.500 0.500

Formation energy (no corrections) for the records above, in order: -0.45; 2.23 eV per formula unit
Energy for the records above, in order: -5.5669; -3.6637 eV/atom